(1)
RbBaFe3 | PBE | relaxed

a b c (Å): 5.4992 5.4992 5.4992
angles (deg): 90.00 90.00 90.00
Atoms (fractional coordinates):
1 Rb 0.0000 0.0000 0.0000
2 Ba 0.5000 0.5000 0.5000
3 Fe 0.0000 0.0000 0.5000
4 Fe 0.0000 0.5000 0.0000
5 Fe 0.5000 0.0000 0.0000

Output
Energy   -18.13 eV per cell
DFT formation energy   2.030 eV per atom
SG   Pm-3m (221)
Crystal system   cubic
Energy relative to the lowest polymorph listed for this composition   0.0844 eV per atom

(2)
NaMn3Tc | PBE | relaxed

a b c (Å): 4.7901 4.7901 4.7901
angles (deg): 90.00 90.00 90.00
Atoms (fractional coordinates):
1 Na 0.0000 0.0000 0.0000
2 Mn 0.0000 0.5000 0.5000
3 Mn 0.5000 0.0000 0.5000
4 Mn 0.5000 0.5000 0.0000
5 Tc 0.5000 0.5000 0.5000

Output
Energy   -34.06 eV per cell
DFT formation energy   1.027 eV per atom
SG   Pm-3m (221)
Crystal system   cubic
Energy relative to the lowest polymorph listed for this composition   0.0000 eV per atom